Record 1
A geometry-optimized KLi2Ru structure. Source: Alexandria, functional GGA-PBE.

E   -23.36 eV per cell
Energy of formation from the pure elements   631 meV/atom
Size of the total moment   0.0 μB/f.u.
Polymorph energy (0 for the lowest one)   0.127 eV per atom
ρ   2.797 g/cm3

abc: 2.6816 5.9543 11.4558
angles: 90.00 90.00 90.00
With the nearest neighbours (Å) after each atom.
Space group Immm (No. 71)
Symmetry-distinct sites (fractional):
K (0.0000, 0.0000, 0.0000) x2  2 K 2.68
Li (0.0000, 0.5000, 0.1973) x4  2 Ru 2.63, 2 Li 2.68
Ru (0.0000, 0.0000, 0.5000) x2  4 Li 2.63, 2 Ru 2.68



Record 2
A geometry-optimized KLiRu2 structure. Source: Alexandria, functional GGA-PBE.

E   -35.86 eV per cell
Energy of formation from the pure elements   908 meV/atom
Size of the total moment   0.0 μB/f.u.
Polymorph energy (0 for the lowest one)   0.442 eV per atom
ρ   5.869 g/cm3

abc: 5.0747 10.4343 2.6521
angles: 90.00 90.00 90.00
With the nearest neighbours (Å) after each atom.
Space group Cmmm (No. 65)
Symmetry-distinct sites (fractional):
K (0.0000, 0.0000, 0.0000) x2  2 Li 2.54, 2 K 2.65
Li (0.0000, 0.5000, 0.0000) x2  2 K 2.54, 2 Li 2.65
Ru (0.2500, 0.2500, 0.5000) x4  4 Ru 2.54-2.65



Record 3
A geometry-optimized KLiRu2 structure. Source: Alexandria, functional GGA-PBE.

E   -17.83 eV per cell
Energy of formation from the pure elements   934 meV/atom
Size of the total moment   0.6 μB/f.u.
Polymorph energy (0 for the lowest one)   0.468 eV per atom
ρ   5.530 g/cm3

abc: 3.0788 3.0788 7.8614
angles: 90.00 90.00 90.00
With the nearest neighbours (Å) after each atom.
Space group P4/mmm (No. 123)
Symmetry-distinct sites (fractional):
K (0.0000, 0.0000, 0.0000) x1  4 K 3.08
Li (0.0000, 0.0000, 0.5000) x1  8 Ru 2.47
Ru (0.5000, 0.5000, 0.3512) x2  1 Ru 2.34, 4 Li 2.47



Record 4
A geometry-optimized K2LiRu structure. Source: Alexandria, functional GGA-PBE.

E   -19.49 eV per cell
Energy of formation from the pure elements   909 meV/atom
Size of the total moment   1.6 μB/f.u.
Polymorph energy (0 for the lowest one)   0.183 eV per atom
ρ   2.696 g/cm3

abc: 4.4111 4.4474 11.6907
angles: 90.00 90.00 90.00
With the nearest neighbours (Å) after each atom.
Space group Cmmm (No. 65)
Symmetry-distinct sites (fractional):
K (0.0000, 0.0000, 0.2145) x4  4 K 3.13, 4 Ru 3.34-3.35
Li (0.0000, 0.5000, 0.5000) x2  4 Li 3.13
Ru (0.0000, 0.5000, 0.0000) x2  4 Ru 3.13, 8 K 3.34-3.35



Record 5
A geometry-optimized KLi2Ru structure. Source: Alexandria, functional GGA-PBE.

E   -11.99 eV per cell
Energy of formation from the pure elements   554 meV/atom
Size of the total moment   0.0 μB/f.u.
Polymorph energy (0 for the lowest one)   0.050 eV per atom
ρ   2.802 g/cm3

abc: 2.6569 4.3081 7.9774
angles: 90.00 90.00 90.00
With the nearest neighbours (Å) after each atom.
Space group Pmm2 (No. 25)
Symmetry-distinct sites (fractional):
K (0.0000, 0.0000, 0.0000) x1  2 K 2.66
Li (0.0000, 0.0000, 0.5953) x1  6 Li 2.66-2.96, 4 Ru 2.69
Li (0.5000, 0.5000, 0.4023) x1  1 Ru 2.46, 2 Li 2.66
Ru (0.5000, 0.5000, 0.7112) x1  5 Li 2.46-2.69, 2 Ru 2.66



Record 6
A geometry-optimized KLiRu2 structure. Source: Alexandria, functional GGA-PBE.

E   -55.42 eV per cell
Energy of formation from the pure elements   773 meV/atom
Size of the total moment   0.0 μB/f.u.
Polymorph energy (0 for the lowest one)   0.307 eV per atom
ρ   6.210 g/cm3

abc: 2.7255 2.7255 30.9465
angles: 90.00 90.00 120.00
With the nearest neighbours (Å) after each atom.
Space group R-3m (No. 166, hexagonal axes)
Symmetry-distinct sites (fractional):
K (0.0000, 0.0000, 0.0000) x3  6 K 2.73
Li (0.0000, 0.0000, 0.5000) x3  6 Li 2.73, 6 Ru 2.76
Ru (0.0000, 0.0000, 0.2400) x6  6 Ru 2.73, 3 Li 2.76



Record 7
A geometry-optimized K2LiRu structure. Source: Alexandria, functional GGA-PBE.

E   -20.23 eV per cell
Energy of formation from the pure elements   818 meV/atom
Size of the total moment   0.5 μB/f.u.
Polymorph energy (0 for the lowest one)   0.091 eV per atom
ρ   2.661 g/cm3

abc: 2.8817 6.1487 13.1165
angles: 90.00 90.00 90.00
With the nearest neighbours (Å) after each atom.
Space group Imm2 (No. 44)
Symmetry-distinct sites (fractional):
K (0.0000, 0.0000, 0.0000) x2  2 K 2.88
K (0.0000, 0.5000, 0.2028) x2  2 K 2.88
Li (0.0000, 0.5000, 0.8114) x2  2 Ru 2.55
Ru (0.0000, 0.0000, 0.4717) x2  2 Li 2.55



Record 8
A geometry-optimized KLiRu2 structure. Source: Alexandria, functional GGA-PBE.

E   -35.29 eV per cell
Energy of formation from the pure elements   980 meV/atom
Size of the total moment   0.0 μB/f.u.
Polymorph energy (0 for the lowest one)   0.514 eV per atom
ρ   5.097 g/cm3

abc: 2.8111 5.5856 10.2981
angles: 90.00 90.00 90.00
With the nearest neighbours (Å) after each atom.
Space group Imm2 (No. 44)
Symmetry-distinct sites (fractional):
K (0.0000, 0.0000, 0.0000) x2  2 K 2.81, 4 Ru 3.13
Li (0.0000, 0.5000, 0.7831) x2  2 Ru 2.80, 2 Li 2.81
Ru (0.0000, 0.0000, 0.5180) x2  2 Ru 2.43
Ru (0.0000, 0.5000, 0.2104) x2  2 Ru 2.43



Record 9
A geometry-optimized KLiRu2 structure. Source: Alexandria, functional GGA-PBE.

E   -37.02 eV per cell
Energy of formation from the pure elements   764 meV/atom
Size of the total moment   0.0 μB/f.u.
Polymorph energy (0 for the lowest one)   0.298 eV per atom
ρ   6.211 g/cm3

abc: 2.7827 4.6039 10.3589
angles: 90.00 90.00 90.00
With the nearest neighbours (Å) after each atom.
Space group Cmmm (No. 65)
Symmetry-distinct sites (fractional):
K (0.0000, 0.0000, 0.0000) x2  6 K 2.69-2.78
Li (0.0000, 0.0000, 0.5000) x2  4 Ru 2.68, 6 Li 2.69-2.78
Ru (0.0000, 0.5000, 0.2793) x4  2 Li 2.68, 6 Ru 2.69-2.78



Record 10
A geometry-optimized KLiRu2 structure. Source: Alexandria, functional GGA-PBE.

E   -35.61 eV per cell
Energy of formation from the pure elements   940 meV/atom
Size of the total moment   0.0 μB/f.u.
Polymorph energy (0 for the lowest one)   0.474 eV per atom
ρ   5.854 g/cm3

abc: 3.6731 3.6731 10.4358
angles: 90.00 90.00 90.00
With the nearest neighbours (Å) after each atom.
Space group I4/mmm (No. 139)
Symmetry-distinct sites (fractional):
K (0.0000, 0.0000, 0.0000) x2  4 Li 2.60
Li (0.0000, 0.0000, 0.5000) x2  4 K 2.60
Ru (0.0000, 0.5000, 0.2500) x4  4 Ru 2.60



Record 11
A geometry-optimized KLi2Ru structure. Source: Alexandria, functional GGA-PBE.

E   -41.48 eV per cell
Energy of formation from the pure elements   958 meV/atom
Size of the total moment   1.3 μB/f.u.
Polymorph energy (0 for the lowest one)   0.454 eV per atom
ρ   2.291 g/cm3

abc: 5.0516 5.0516 17.5014
angles: 90.00 90.00 90.00
With the nearest neighbours (Å) after each atom.
Space group I-42d (No. 122)
Symmetry-distinct sites (fractional):
K (0.0000, 0.0000, 0.0000) x4  8 Li 3.39-3.76, 4 Ru 3.57
Li (0.0526, 0.2500, 0.6250) x8  2 Ru 2.54, 2 Li 2.58
Ru (0.0000, 0.0000, 0.5000) x4  4 Li 2.54



Record 12
A geometry-optimized KLi2Ru structure. Source: Alexandria, functional GGA-PBE.

E   -35.05 eV per cell
Energy of formation from the pure elements   630 meV/atom
Size of the total moment   0.4 μB/f.u.
Polymorph energy (0 for the lowest one)   0.126 eV per atom
ρ   3.085 g/cm3

abc: 2.9588 2.9588 32.8122
angles: 90.00 90.00 120.00
With the nearest neighbours (Å) after each atom.
Space group R-3m (No. 166, hexagonal axes)
Symmetry-distinct sites (fractional):
K (0.0000, 0.0000, 0.0000) x3  6 K 2.96
Li (0.0000, 0.0000, 0.2295) x6  3 Ru 2.68, 6 Li 2.96
Ru (0.0000, 0.0000, 0.5000) x3  6 Li 2.68, 6 Ru 2.96